The following is a DFT calculation (PBE) of crystalline HfBeCd at its relaxed geometry.

Cell: 7.252 3.367 10.263 Å, 90.00 126.00 90.00°
Positions (direct):
Be (0.647, 0.000, 0.122)
Be (0.353, 0.500, 0.378)
Be (0.353, 0.000, 0.878)
Be (0.647, 0.500, 0.622)
Hf (0.651, 0.500, 0.908)
Hf (0.651, 0.000, 0.408)
Hf (0.349, 0.500, 0.092)
Hf (0.349, 0.000, 0.592)
Cd (0.925, 0.000, 0.827)
Cd (0.075, 0.000, 0.173)
Cd (0.925, 0.500, 0.327)
Cd (0.075, 0.500, 0.673)

The offset from the most stable computed form comes out at 25 kJ/mol of formula units.

=====

The following is a DFT calculation (PBE) of crystalline HfBeCd3 at its relaxed geometry.

Cell: 5.627 5.627 5.627 Å, 90.00 90.00 90.00°
Positions (direct):
Be (0.500, 0.500, 0.500)
Cd (0.000, 0.000, 0.500)
Cd (0.000, 0.500, 0.000)
Cd (0.500, 0.000, 0.000)
Hf (0.000, 0.000, 0.000)

The offset from the most stable computed form comes out at 474 kJ/mol of formula units.

=====

The following is a DFT calculation (PBE) of crystalline HfBeCd2 at its relaxed geometry.

Cell: 7.541 7.541 5.987 Å, 50.96 50.96 90.00°
Positions (direct):
Cd (0.563, 0.125, 0.250)
Cd (0.875, 0.813, 0.750)
Cd (0.187, 0.625, 0.250)
Cd (0.375, 0.437, 0.750)
Hf (0.750, 0.250, 0.500)
Hf (0.000, 0.000, 0.000)
Be (0.500, 0.500, 0.000)
Be (0.250, 0.750, 0.500)

The offset from the most stable computed form comes out at 19 kJ/mol of formula units.

=====

The following is a DFT calculation (PBE) of crystalline HfBeCd at its relaxed geometry.

Cell: 3.845 3.845 7.038 Å, 90.00 90.00 90.00°
Positions (direct):
Hf (0.500, 0.000, 0.373)
Hf (0.000, 0.500, 0.627)
Be (0.000, 0.500, 0.261)
Be (0.500, 0.000, 0.739)
Cd (0.500, 0.500, 0.000)
Cd (0.000, 0.000, 0.000)

The offset from the most stable computed form comes out at 70 kJ/mol of formula units.

=====

The following is a DFT calculation (PBE) of crystalline Hf2BeCd at its relaxed geometry.

Cell: 4.718 4.718 4.718 Å, 60.00 60.00 60.00°
Positions (direct):
Be (0.000, 0.000, 0.000)
Cd (0.500, 0.500, 0.500)
Hf (0.750, 0.750, 0.750)
Hf (0.250, 0.250, 0.250)

The offset from the most stable computed form comes out at 54 kJ/mol of formula units.

=====

The following is a DFT calculation (PBE) of crystalline HfBeCd2 at its relaxed geometry.

Cell: 4.714 4.714 4.714 Å, 60.00 60.00 60.00°
Positions (direct):
Cd (0.250, 0.250, 0.250)
Cd (0.750, 0.750, 0.750)
Be (0.000, 0.000, 0.000)
Hf (0.500, 0.500, 0.500)

The offset from the most stable computed form comes out at 0 kJ/mol of formula units.

=====

The following is a DFT calculation (PBE) of crystalline HfBeCd at its relaxed geometry.

Cell: 3.472 3.778 8.080 Å, 76.48 90.00 90.00°
Positions (direct):
Cd (0.750, 0.299, 0.402)
Cd (0.250, 0.701, 0.598)
Be (0.250, 0.538, 0.925)
Be (0.750, 0.462, 0.075)
Hf (0.750, 0.081, 0.838)
Hf (0.250, 0.919, 0.162)

The offset from the most stable computed form comes out at 0 kJ/mol of formula units.

=====

The following is a DFT calculation (PBE) of crystalline Hf2BeCd at its relaxed geometry.

Cell: 3.125 3.125 9.906 Å, 80.93 80.93 60.00°
Positions (direct):
Hf (0.896, 0.896, 0.312)
Hf (0.104, 0.104, 0.688)
Be (0.500, 0.500, 0.500)
Cd (0.000, 0.000, 0.000)

The offset from the most stable computed form comes out at 146 kJ/mol of formula units.

=====

The following is a DFT calculation (PBE) of crystalline Hf3BeCd at its relaxed geometry.

Cell: 4.686 4.686 4.686 Å, 90.00 90.00 90.00°
Positions (direct):
Hf (0.500, 0.000, 0.000)
Hf (0.000, 0.000, 0.500)
Hf (0.000, 0.500, 0.000)
Cd (0.500, 0.500, 0.500)
Be (0.000, 0.000, 0.000)

The offset from the most stable computed form comes out at 0 kJ/mol of formula units.

=====

The following is a DFT calculation (PBE) of crystalline Hf2BeCd at its relaxed geometry.

Cell: 3.033 3.033 7.914 Å, 90.00 90.00 90.00°
Positions (direct):
Hf (0.000, 0.000, 0.790)
Hf (0.000, 0.000, 0.210)
Cd (0.500, 0.500, 0.500)
Be (0.500, 0.500, 0.000)

The offset from the most stable computed form comes out at 0 kJ/mol of formula units.

=====

The following is a DFT calculation (PBE) of crystalline HfBeCd at its relaxed geometry.

Cell: 3.022 3.022 11.306 Å, 90.00 90.00 90.00°
Positions (direct):
Hf (0.000, 0.000, 0.463)
Hf (0.000, 0.000, 0.164)
Be (0.500, 0.500, 0.320)
Be (0.500, 0.500, 0.018)
Cd (0.000, 0.000, 0.877)
Cd (0.500, 0.500, 0.671)

The offset from the most stable computed form comes out at 49 kJ/mol of formula units.

=====

The following is a DFT calculation (PBE) of crystalline HfBeCd3 at its relaxed geometry.

Cell: 4.611 4.611 4.611 Å, 90.00 90.00 90.00°
Positions (direct):
Cd (0.500, 0.000, 0.000)
Cd (0.000, 0.000, 0.500)
Cd (0.000, 0.500, 0.000)
Hf (0.500, 0.500, 0.500)
Be (0.000, 0.000, 0.000)

The offset from the most stable computed form comes out at 0 kJ/mol of formula units.

=====

The following is a DFT calculation (PBE) of crystalline HfBeCdIn2 at its relaxed geometry.

Cell: 4.823 4.823 4.613 Å, 90.00 90.00 90.00°
Positions (direct):
Hf (0.500, 0.500, 0.500)
In (0.500, 0.000, 0.000)
In (0.000, 0.500, 0.000)
Cd (0.000, 0.000, 0.500)
Be (0.000, 0.000, 0.000)

The calculation puts the total DFT energy (no corrections) at -3.46 eV per atom.

=====

The following is a DFT calculation (PBE) of crystalline HfBeCdO2 at its relaxed geometry.

Cell: 3.970 6.341 3.970 Å, 90.00 90.00 90.00°
Positions (direct):
Be (0.500, 0.500, 0.500)
Cd (0.000, 0.500, 0.000)
O (0.000, 0.000, 0.500)
O (0.500, 0.000, 0.000)
Hf (0.000, 0.000, 0.000)

The calculation puts the total DFT energy (no corrections) at -5.88 eV per atom.

=====

The following is a DFT calculation (PBE) of crystalline Hf2BeCdPd at its relaxed geometry.

Cell: 5.179 4.152 5.179 Å, 90.00 90.00 90.00°
Positions (direct):
Be (0.000, 0.500, 0.000)
Hf (0.000, 0.000, 0.500)
Hf (0.500, 0.000, 0.000)
Cd (0.000, 0.000, 0.000)
Pd (0.500, 0.500, 0.500)

The calculation puts the total DFT energy (no corrections) at -4.87 eV per atom.

=====

The following is a DFT calculation (PBE) of crystalline HfBeCdSb2 at its relaxed geometry.

Cell: 5.321 5.443 5.321 Å, 90.00 90.00 90.00°
Positions (direct):
Sb (0.000, 0.000, 0.500)
Sb (0.500, 0.000, 0.000)
Be (0.500, 0.500, 0.500)
Hf (0.000, 0.500, 0.000)
Cd (0.000, 0.000, 0.000)

The calculation puts the total DFT energy (no corrections) at -3.08 eV per atom.

=====

The following is a DFT calculation (PBE) of crystalline Hf2BeCdSn at its relaxed geometry.

Cell: 4.745 4.530 4.745 Å, 90.00 90.00 90.00°
Positions (direct):
Sn (0.500, 0.500, 0.500)
Hf (0.000, 0.000, 0.500)
Hf (0.500, 0.000, 0.000)
Cd (0.000, 0.500, 0.000)
Be (0.000, 0.000, 0.000)

The calculation puts the total DFT energy (no corrections) at -5.58 eV per atom.

=====

The following is a DFT calculation (PBE) of crystalline HfBeCd2Sn at its relaxed geometry.

Cell: 5.479 4.316 5.479 Å, 90.00 90.00 90.00°
Positions (direct):
Sn (0.000, 0.000, 0.000)
Be (0.000, 0.500, 0.000)
Hf (0.500, 0.500, 0.500)
Cd (0.500, 0.000, 0.000)
Cd (0.000, 0.000, 0.500)

The calculation puts the total DFT energy (no corrections) at -2.86 eV per atom.

=====

The following is a DFT calculation (PBE) of crystalline SrHf2BeCd at its relaxed geometry.

Cell: 5.258 5.846 5.258 Å, 90.00 90.00 90.00°
Positions (direct):
Be (0.500, 0.500, 0.500)
Sr (0.000, 0.500, 0.000)
Cd (0.000, 0.000, 0.000)
Hf (0.500, 0.000, 0.000)
Hf (0.000, 0.000, 0.500)

The calculation puts the total DFT energy (no corrections) at -3.78 eV per atom.

=====

The following is a DFT calculation (PBE) of crystalline HfBeVCd2 at its relaxed geometry.

Cell: 4.440 4.488 4.440 Å, 90.00 90.00 90.00°
Positions (direct):
Cd (0.000, 0.000, 0.500)
Cd (0.500, 0.000, 0.000)
Hf (0.500, 0.500, 0.500)
Be (0.000, 0.000, 0.000)
V (0.000, 0.500, 0.000)

The calculation puts the total DFT energy (no corrections) at -4.40 eV per atom.